The following is a DFT calculation (PBE-GGA) of PdPt3Cl after structural relaxation.

abc: 4.887 4.887 4.887
angles: 90.00 90.00 90.00
Positions (direct):
Pd  0.000  0.000  0.000
Pt  0.000  0.000  0.500
Pt  0.000  0.500  0.000
Pt  0.500  0.000  0.000
Cl  0.500  0.500  0.500

- E: -17.700 eV per cell
- ΔE_f (raw): 1.4923 eV per atom
- Spin magnetization: 1.5 μB/f.u.